# 1
The following is a meta-GGA SCAN calculation of CsBaIn2Sn at its PBEsol-relaxed geometry, from Alexandria.

Output
**Energy relative to the elements**: 0.131 eV per atom
**V**: 41.98 Å³ per atom
**Spin magnetization**: 0.00 μB per cell
**N(E_F)**: 0.779 states/eV/atom

a b c (Å): 5.718 5.718 6.421
angles (deg): 90.00 90.00 90.00
Space group P4/mmm (No. 123)
Unique sites:
Cs: 0.000 0.000 0.000 (multiplicity 1)
Ba: 0.500 0.500 0.000 (multiplicity 1)
In: 0.000 0.500 0.500 (multiplicity 2)
Sn: 0.000 0.000 0.500 (multiplicity 1)


# 2
The following is a meta-GGA SCAN calculation of SrInAs2 at its PBEsol-relaxed geometry, from Alexandria.

Output
**Energy relative to the elements**: -0.140 eV per atom
**V**: 24.23 Å³ per atom
**Spin magnetization**: 0.00 μB per cell
**N(E_F)**: 0.550 states/eV/atom

a b c (Å): 7.291 7.291 7.291
angles (deg): 90.00 90.00 90.00
Space group F-43m (No. 216)
Unique sites:
Sr: 0.000 0.000 0.000 (multiplicity 4)
In: 0.250 0.250 0.750 (multiplicity 4)
As: 0.000 0.000 0.500 (multiplicity 4)
As: 0.250 0.250 0.250 (multiplicity 4)


# 3
The following is a meta-GGA SCAN calculation of Cu3IrBr at its PBEsol-relaxed geometry, from Alexandria.

Output
**V**: 16.83 Å³ per atom
**Uncorrected energy**: -25.73 eV/atom
**Spin magnetization**: 1.15 μB per cell
**N(E_F)**: 0.515 states/eV/atom

a b c (Å): 4.382 4.382 4.382
angles (deg): 90.00 90.00 90.00
Space group Pm-3m (No. 221)
Unique sites:
Cu: 0.000 0.000 0.500 (multiplicity 3)
Ir: 0.500 0.500 0.500 (multiplicity 1)
Br: 0.000 0.000 0.000 (multiplicity 1)


# 4
The following is a meta-GGA SCAN calculation of BeRh2 at its PBEsol-relaxed geometry, from Alexandria.

Output
**Energy relative to the elements**: -0.440 eV per atom
**V**: 11.54 Å³ per atom
**Spin magnetization**: 0.01 μB per cell
**N(E_F)**: 0.908 states/eV/atom

a b c (Å): 2.727 12.341 4.113
angles (deg): 90.00 90.00 90.00
Space group Cmcm (No. 63)
Unique sites:
Be: 0.000 0.066 0.250 (multiplicity 4)
Rh: 0.000 0.279 0.750 (multiplicity 4)
Rh: 0.000 0.417 0.250 (multiplicity 4)